First-principles (PBE) data for a geometry-optimized PrNdSmCu structure, as listed in Alexandria via LeMat-Bulk.

Output
DOS(E_F), states/eV/cell: 4.4
Formation enthalpy at 0 K, kJ per mole of atoms: -6

a b c (Å): 3.6234 3.6234 8.8617
angles (deg): 90.00 90.00 90.00
With the nearest neighbours (Å) after each atom.
Positions (direct):
Pr 0.0000 0.0000 0.0683  4 Pr 3.62, 4 Sm 3.72, 4 Nd 3.74
Nd 0.5000 0.5000 0.3761  4 Cu 3.12, 1 Sm 3.44
Sm 0.5000 0.5000 0.7641  4 Cu 3.06
Cu 0.0000 0.0000 0.5761  4 Sm 3.06, 4 Nd 3.12


First-principles (PBE) data for a geometry-optimized PrNdCuTc structure, as listed in Alexandria via LeMat-Bulk.

Output
DOS(E_F), states/eV/cell: 4.5
Formation enthalpy at 0 K, kJ per mole of atoms: 8

a b c (Å): 5.0490 5.0490 5.0490
angles (deg): 60.00 60.00 60.00
With the nearest neighbours (Å) after each atom.
Positions (direct):
Pr 0.0000 0.0000 0.0000  4 Tc 3.09, 4 Cu 3.09
Nd 0.5000 0.5000 0.5000  4 Tc 3.09, 4 Cu 3.09
Tc 0.7500 0.7500 0.7500  4 Nd 3.09, 4 Pr 3.09
Cu 0.2500 0.2500 0.2500  4 Pr 3.09, 4 Nd 3.09


First-principles (PBE) data for a geometry-optimized PrNdYCu structure, as listed in Alexandria via LeMat-Bulk.

Output
DOS(E_F), states/eV/cell: 3.9
Formation enthalpy at 0 K, kJ per mole of atoms: -7

a b c (Å): 3.5936 3.5936 8.8541
angles (deg): 90.00 90.00 90.00
With the nearest neighbours (Å) after each atom.
Positions (direct):
Pr 0.0000 0.0000 0.0771  4 Pr 3.59, 4 Y 3.70, 4 Nd 3.74
Nd 0.5000 0.5000 0.7668  4 Cu 3.13, 1 Y 3.42
Y 0.5000 0.5000 0.3809  4 Cu 3.00
Cu 0.0000 0.0000 0.5599  4 Y 3.00, 4 Nd 3.13


Number 1: total magnetic moment 0.00 μB per formula unit. Number 2: total magnetic moment 0.00 μB per formula unit. Number 3: total magnetic moment 0.00 μB per formula unit.